This record from Alexandria via LeMat-Bulk describes crystalline Nd2TmV at its relaxed geometry. The functional is PBE.

Total magnetization, μB per formula unit: 3.15
ΔE_f, meV per atom: 630

a = 3.4287 Å, b = 3.4287 Å, c = 34.8186 Å
α = 90.00°, β = 90.00°, γ = 120.00°
Space group R-3m (No. 166, hexagonal axes)
Unique sites:
Nd: 0.0000 0.0000 0.0818 (multiplicity 6)
Tm: 0.0000 0.0000 0.5000 (multiplicity 3)
V: 0.0000 0.0000 0.0000 (multiplicity 3)